1.
La2ScMn | Alexandria | PBE-GGA | relaxed; total DFT energy (no corrections) = -24.4 eV/f.u.; formation enthalpy at 0 K = 245 meV per atom
1.0
-1.8901 2.6540 5.2982
1.8901 -2.6540 5.2982
1.8901 2.6540 -5.2982
La Sc Mn
2 1 1
direct
0.2032 0.2032 0.0000
0.7968 0.7968 0.0000
0.5000 0.0000 0.5000
0.0000 0.5000 0.5000


2.
La2ScMn | Alexandria | PBE-GGA | relaxed; total DFT energy (no corrections) = -24.2 eV/f.u.; formation enthalpy at 0 K = 284 meV per atom
1.0
-2.3350 2.3350 5.0170
2.3350 -2.3350 5.0170
2.3350 2.3350 -5.0170
La Sc Mn
2 1 1
direct
0.0000 0.0000 0.0000
0.7500 0.2500 0.5000
0.5000 0.5000 0.0000
0.2500 0.7500 0.5000


3.
LaScMn3 | Alexandria | PBE-GGA | relaxed; total DFT energy (no corrections) = -34.8 eV/f.u.; formation enthalpy at 0 K = 792 meV per atom
1.0
4.8638 0.0000 0.0000
0.0000 4.8638 0.0000
0.0000 0.0000 4.8638
La Sc Mn
1 1 3
direct
0.0000 0.0000 0.0000
0.5000 0.5000 0.5000
0.0000 0.5000 0.5000
0.5000 0.0000 0.5000
0.5000 0.5000 0.0000


4.
LaScMn3 | Alexandria | PBE-GGA | relaxed; total DFT energy (no corrections) = -31.0 eV/f.u.; formation enthalpy at 0 K = 1547 meV per atom
1.0
4.5012 0.0000 0.0000
0.0000 4.5012 0.0000
0.0000 0.0000 4.5012
La Sc Mn
1 1 3
direct
0.0000 0.0000 0.0000
0.5000 0.5000 0.5000
0.0000 0.0000 0.5000
0.0000 0.5000 0.0000
0.5000 0.0000 0.0000